4
Lattice="2.9751 0.0000 0.0000 0.0000 2.9751 0.0000 0.0000 0.0000 5.9270" Properties=species:S:1:pos:R:3 comment="PBE-GGA ReSi2Os, optimized geometry" vol_a3_per_atom=13.12 formation_energy_uncorrected_mev_per_atom=-254 e_tot_ev_per_atom=-8.885 pbc="T T T"
Si 0.0000 0.0000 5.9172
Re 1.4876 1.4876 4.4452
Os 1.4876 1.4876 1.4817
Si 0.0000 0.0000 2.9733



12
Lattice="4.9501 0.0000 0.0000 -2.4750 4.2869 0.0000 0.0000 0.0000 7.9290" Properties=species:S:1:pos:R:3 comment="PBE-GGA Sc2FeNi3, optimized geometry" e_form_ev_per_atom=-0.425 vol_a3_per_atom=14.02 e_tot_ev_per_atom=-6.836 pbc="T T T"
Sc 2.4750 1.4290 3.4760
Fe 0.0000 0.0000 0.0000
Ni 0.0000 1.4398 1.9823
Ni 1.2469 0.7199 5.9468
Fe 0.0000 0.0000 3.9645
Ni -1.2281 3.5670 1.9823
Sc 2.4750 1.4290 0.4885
Sc 0.0000 2.8579 7.4405
Ni 3.7031 0.7199 5.9468
Ni 1.2281 3.5670 1.9823
Sc 0.0000 2.8579 4.4530
Ni 2.4750 2.8471 5.9468



10
Lattice="-0.5608 2.2629 3.7317 3.3921 -4.2206 3.0691 7.6954 6.7517 -5.5318" Properties=species:S:1:pos:R:3 comment="PBE-GGA NdHo4Sb5, optimized geometry" vol_a3_per_atom=30.11 formation_energy_uncorrected_mev_per_atom=-1123 e_tot_ev_per_atom=-5.492 pbc="T T T"
Ho 6.8484 2.4634 2.1295
Ho 7.2847 4.6156 -1.7041
Ho 3.6783 2.3306 -0.8605
Ho 3.2420 0.1784 2.9732
Sb 8.9166 2.4647 -0.1546
Sb 5.1974 4.6022 0.5844
Sb 5.3293 0.1918 0.6846
Sb 1.6961 -2.1103 1.5345
Nd 0.0000 0.0000 0.0000
Sb 1.6101 2.3293 1.4236



6
Lattice="5.7405 0.0000 -0.0003 -0.0002 5.7445 -0.0001 0.0062 0.0097 8.1189" Properties=species:S:1:pos:R:3 comment="PBE-GGA Ba4ZnAu, optimized geometry" polymorph_energy_ev_per_atom=0.079 e_form_ev_per_atom=-0.230 vol_a3_per_atom=44.62 e_tot_ev_per_atom=-2.270 pbc="T T T"
Ba 0.0136 2.8672 6.0694
Ba 2.8834 5.7397 6.0694
Zn 2.8843 2.8655 8.1037
Au 0.0102 5.7341 4.0436
Ba 2.8776 5.7281 2.0187
Ba 0.0072 2.8564 2.0197



12
Lattice="-3.0498 -1.5211 -0.8086 2.3451 -5.9995 2.4413 -2.3168 -0.2494 9.2077" Properties=species:S:1:pos:R:3 comment="PBE-GGA CeHoPuN3, optimized geometry" vol_a3_per_atom=18.31 formation_energy_uncorrected_mev_per_atom=-1266 e_tot_ev_per_atom=-9.570 pbc="T T T"
Pu -1.5684 -5.5691 5.0124
N -0.6365 -6.1207 2.5351
Ho 0.2406 -3.8076 2.4624
N -2.6480 -4.0156 6.1621
Ce -0.8908 -0.8965 1.2533
N -1.8158 -3.0812 1.2652
Ce -2.1307 -6.8734 9.5872
N -0.3735 -3.7544 4.6784
N -2.3850 -1.6493 8.3053
N -1.2057 -4.6888 9.5752
Pu -1.4531 -2.2009 5.8281
Ho -3.2620 -3.9623 8.3781



10
Lattice="-6.7920 1.9168 2.1443 -5.0558 -5.2047 1.3241 -2.1983 -1.3321 6.9135" Properties=species:S:1:pos:R:3 comment="PBE-GGA Cs2ScPaS6, optimized geometry" vol_a3_per_atom=28.37 formation_energy_uncorrected_mev_per_atom=-1338 e_tot_ev_per_atom=-5.568 pbc="T T T"
S -9.4573 -2.8034 4.3218
Cs -10.5345 -3.4651 7.7864
S -4.5887 -1.8166 6.0601
Pa -7.0230 -2.3100 5.1910
S -7.1396 -4.4427 6.7282
Sc 0.0000 0.0000 0.0000
S -6.0304 -3.7706 3.2400
Cs -3.5115 -1.1550 2.5955
S -6.9065 -0.1774 3.6537
S -8.0156 -0.8495 7.1420